(1)
LaTaBe2: optimized geometry, GGA-PBEsol.

Computed properties:
- Energy relative to the lowest polymorph listed for this composition: 1.37 eV/f.u.
- E: -5.679 eV per atom
- Crystal system: tetragonal
- Total moment: 0.000 μB per cell
- Formation energy from the elements: 0.795 eV per atom

Unit cell a=7.305 b=7.305 c=5.532 alpha=90.00 beta=90.00 gamma=90.00
Space group I-42d (No. 122)
Unique sites:
La (0.000, 0.000, 0.000) (multiplicity 4)
Ta (0.000, 0.000, 0.500) (multiplicity 4)
Be (0.201, 0.250, 0.625) (multiplicity 8)

---

(2)
TlPb: optimized geometry, GGA-PBEsol.

Computed properties:
- E: -3.112 eV per atom
- Crystal system: cubic
- Total moment: 0.001 μB per cell
- Formation energy from the elements: 0.203 eV per atom

Unit cell a=6.264 b=6.264 c=6.264 alpha=90.00 beta=90.00 gamma=90.00
Space group Fm-3m (No. 225)
Unique sites:
Tl (0.000, 0.000, 0.000) (multiplicity 4)
Pb (0.000, 0.000, 0.500) (multiplicity 4)

---

(3)
Al2PtCl: optimized geometry, GGA-PBEsol.

Computed properties:
- Energy relative to the lowest polymorph listed for this composition: 0.89 eV/f.u.
- E: -4.421 eV per atom
- Crystal system: tetragonal
- Total moment: 0.001 μB per cell
- ΔE_f (raw): -0.132 eV/atom

Unit cell a=4.304 b=4.304 c=7.023 alpha=90.00 beta=90.00 gamma=90.00
Space group I4/mmm (No. 139)
Unique sites:
Al (0.000, 0.500, 0.250) (multiplicity 4)
Pt (0.000, 0.000, 0.000) (multiplicity 2)
Cl (0.000, 0.000, 0.500) (multiplicity 2)

---

(4)
CsMo2H: optimized geometry, GGA-PBEsol.

Computed properties:
- E: -5.606 eV per atom
- Crystal system: tetragonal
- Total moment: 0.002 μB per cell

Unit cell a=5.877 b=5.877 c=8.292 alpha=90.00 beta=90.00 gamma=90.00
Space group I4_1/amd (No. 141, origin choice 2)
Unique sites:
Cs (0.000, 0.250, 0.375) (multiplicity 4)
Mo (0.000, 0.000, 0.000) (multiplicity 8)
H (0.000, 0.250, 0.875) (multiplicity 4)

---

(5)
WI3N: optimized geometry, GGA-PBEsol.

Computed properties:
- E: -3.701 eV per atom
- Crystal system: cubic
- Total moment: 4.072 μB per cell
- ΔE_f (raw): 1.825 eV/atom

Unit cell a=4.882 b=4.882 c=4.882 alpha=90.00 beta=90.00 gamma=90.00
Space group Pm-3m (No. 221)
Unique sites:
W (0.000, 0.000, 0.000) (multiplicity 1)
I (0.000, 0.500, 0.500) (multiplicity 3)
N (0.500, 0.500, 0.500) (multiplicity 1)

---

(6)
CaMg2Au: optimized geometry, GGA-PBEsol.

Computed properties:
- E: -2.718 eV per atom
- Crystal system: monoclinic
- Total moment: 0.001 μB per cell
- Formation energy from the elements: -0.345 eV per atom

Unit cell a=6.989 b=7.063 c=4.966 alpha=90.00 beta=134.62 gamma=90.00
Space group C2 (No. 5)
Unique sites:
Ca (0.000, 0.000, 0.000) (multiplicity 2)
Mg (0.000, 0.250, 0.500) (multiplicity 2)
Mg (0.000, 0.500, 0.000) (multiplicity 2)
Au (0.000, 0.750, 0.500) (multiplicity 2)

---

(7)
CaCr2Cl: optimized geometry, GGA-PBEsol.

Computed properties:
- Energy relative to the lowest polymorph listed for this composition: 0.00 eV/f.u.
- E: -6.115 eV per atom
- Crystal system: tetragonal
- Total moment: 0.723 μB per cell
- ΔE_f (raw): 0.041 eV/atom

Unit cell a=3.361 b=3.361 c=6.767 alpha=90.00 beta=90.00 gamma=90.00
Space group P4mm (No. 99)
Unique sites:
Ca (0.000, 0.000, 0.000) (multiplicity 1)
Cr (0.000, 0.000, 0.596) (multiplicity 1)
Cr (0.500, 0.500, 0.546) (multiplicity 1)
Cl (0.500, 0.500, 0.192) (multiplicity 1)

---

(8)
Ta2CuIr: optimized geometry, GGA-PBEsol.

Computed properties:
- E: -9.917 eV per atom
- Crystal system: orthorhombic
- Total moment: 0.001 μB per cell
- Formation energy from the elements: -0.102 eV per atom

Unit cell a=2.906 b=4.599 c=9.226 alpha=90.00 beta=90.00 gamma=90.00
Space group Imm2 (No. 44)
Unique sites:
Ta (0.000, 0.000, 0.000) (multiplicity 2)
Ta (0.000, 0.500, 0.238) (multiplicity 2)
Cu (0.000, 0.500, 0.756) (multiplicity 2)
Ir (0.000, 0.000, 0.491) (multiplicity 2)

---

(9)
Cu2Pt: optimized geometry, GGA-PBEsol.

Computed properties:
- Energy relative to the lowest polymorph listed for this composition: 0.11 eV/f.u.
- E: -5.299 eV per atom
- Crystal system: monoclinic
- Total moment: 0.000 μB per cell
- Formation energy from the elements: -0.088 eV per atom

Unit cell a=7.625 b=2.690 c=7.922 alpha=90.00 beta=110.17 gamma=90.00
Space group Pm (No. 6)
Unique sites:
Cu (0.000, 0.000, 0.000) (multiplicity 1)
Cu (0.001, 0.000, 0.338) (multiplicity 1)
Cu (0.243, 0.500, 0.253) (multiplicity 1)
Cu (0.507, 0.000, 0.833) (multiplicity 1)
Cu (0.513, 0.000, 0.511) (multiplicity 1)
Cu (0.756, 0.500, 0.751) (multiplicity 1)
Cu (0.759, 0.500, 0.431) (multiplicity 1)
Cu (0.994, 0.000, 0.665) (multiplicity 1)
Pt (0.243, 0.500, 0.918) (multiplicity 1)
Pt (0.253, 0.500, 0.579) (multiplicity 1)
Pt (0.503, 0.000, 0.185) (multiplicity 1)
Pt (0.761, 0.500, 0.086) (multiplicity 1)

---

(10)
ScCdSb2: optimized geometry, GGA-PBEsol.

Computed properties:
- E: -4.594 eV per atom
- Crystal system: tetragonal
- Total moment: 0.000 μB per cell
- ΔE_f (raw): -0.365 eV/atom

Unit cell a=4.190 b=4.190 c=10.538 alpha=90.00 beta=90.00 gamma=90.00
Space group I-4m2 (No. 119)
Unique sites:
Sc (0.000, 0.000, 0.000) (multiplicity 2)
Cd (0.000, 0.500, 0.250) (multiplicity 2)
Sb (0.000, 0.000, 0.500) (multiplicity 2)
Sb (0.000, 0.500, 0.750) (multiplicity 2)

---

(11)
Zr2TaTc: optimized geometry, GGA-PBEsol.

Computed properties:
- Energy relative to the lowest polymorph listed for this composition: 1.25 eV/f.u.
- E: -10.375 eV per atom
- Crystal system: trigonal
- Total moment: 0.000 μB per cell
- Formation energy from the elements: 0.125 eV per atom

Unit cell a=3.1110 b=3.1110 c=26.7763 alpha=90.00 beta=90.00 gamma=120.00
Space group R-3m (No. 166, hexagonal axes)
Unique sites:
Zr (0.0000, 0.0000, 0.2427) (multiplicity 6)
Ta (0.0000, 0.0000, 0.0000) (multiplicity 3)
Tc (0.0000, 0.0000, 0.5000) (multiplicity 3)

---

(12)
AlCr2: optimized geometry, GGA-PBEsol.

Computed properties:
- E: -8.211 eV per atom
- Crystal system: monoclinic
- Total moment: 2.140 μB per cell
- Formation energy from the elements: -0.019 eV per atom

Unit cell a=9.214 b=2.881 c=5.900 alpha=90.00 beta=110.04 gamma=90.00
Space group C2/m (No. 12)
Unique sites:
Al (0.162, 0.000, 0.096) (multiplicity 4)
Cr (0.003, 0.500, 0.731) (multiplicity 4)
Cr (0.160, 0.000, 0.560) (multiplicity 4)